No. 1
The following is a PBE calculation of a geometry-optimized Y12Ga3H5 structure, from Alexandria.

Cell lengths 15.3310, 15.3310, 15.3310 Å; angles 90.00, 90.00, 90.00 degrees
Space group Ia-3d (No. 230)
Unique sites:
Y 0.0379 0.0580 0.6528
Ga 0.0000 0.2500 0.1250
H 0.0000 0.0000 0.0000
H 0.0000 0.2500 0.3750

Output
crystal system: cubic


No. 2
The following is a PBE calculation of a geometry-optimized Ta3MnW structure, from Alexandria.

Cell lengths 4.5336, 4.5336, 4.5336 Å; angles 90.00, 90.00, 90.00 degrees
Space group Pm-3m (No. 221)
Unique sites:
Ta 0.0000 0.0000 0.5000
Mn 0.0000 0.0000 0.0000
W 0.5000 0.5000 0.5000

Output
energy of formation: 1.05 eV/atom
crystal system: cubic


No. 3
The following is a PBE calculation of a geometry-optimized SrOs2Se structure, from Alexandria.

Cell lengths 11.4236, 2.9952, 5.1758 Å; angles 90.00, 116.18, 90.00 degrees
Space group C2/m (No. 12)
Unique sites:
Sr 0.0000 0.0000 0.0000
Os 0.2146 0.0000 0.6511
Se 0.0000 0.5000 0.5000

Output
uncorrected formation energy: 0.5193 eV per atom
crystal system: monoclinic


No. 4
The following is a PBE calculation of a geometry-optimized Hf4MnTc structure, from Alexandria.

Cell lengths 3.2619, 3.2619, 10.4408 Å; angles 90.00, 90.00, 90.00 degrees
Space group P4/mmm (No. 123)
Unique sites:
Hf 0.0000 0.0000 0.1440
Hf 0.5000 0.5000 0.3493
Mn 0.5000 0.5000 0.0000
Tc 0.0000 0.0000 0.5000

Output
energy of formation: -0.17 eV/atom
crystal system: tetragonal


The evaluated D(E_F) for the records listed, in turn: 0.874, 1.476, 0.832, 1.464 states/eV/atom.
The evaluated total DFT energy (no corrections) for the records listed, in turn: -5.507, -10.486, -6.387, -10.066 eV per atom.